Record 1
The following is a GGA-PBE calculation of a relaxed structure of Pu2Co3Ge4Ir, from Alexandria.

## Properties
VASP energy in eV/cell: -81.75
Total moment in μB/f.u.: 9.5
Space group: P-4m2, No. 115
Energy relative to the elements in eV/atom: -0.44

a b c (Å): 4.0818 4.0818 9.8767
angles (deg): 90.00 90.00 90.00
Atoms (fractional coordinates):
Pu1 0.0000 0.5000 0.2419
Pu2 0.5000 0.0000 0.7581
Co1 0.0000 0.5000 0.8742
Co2 0.5000 0.0000 0.1258
Co3 0.5000 0.5000 0.5000
Ge1 0.0000 0.0000 0.0000
Ge2 0.0000 0.5000 0.6381
Ge3 0.5000 0.0000 0.3619
Ge4 0.5000 0.5000 0.0000
Ir1 0.0000 0.0000 0.5000

***

Record 2
The following is a GGA-PBE calculation of a relaxed structure of PuWN2, from Alexandria.

## Properties
VASP energy in eV/cell: -46.94
Offset from the most stable computed form in eV per atom: 0.169
Total moment in μB/f.u.: 4.5
Space group: R-3m, No. 166
Formation energy without anion corrections in eV per atom: -0.75

a b c (Å): 5.5780 5.5780 5.5780
angles (deg): 33.95 33.95 33.95
Atoms (fractional coordinates):
Pu1 0.0000 0.0000 0.0000
W1 0.5000 0.5000 0.5000
N1 0.2396 0.2396 0.2396
N2 0.7604 0.7604 0.7604

***

Please write out number 2 again, unchanged.
The following is a GGA-PBE calculation of a relaxed structure of PuWN2, from Alexandria.

## Properties
VASP energy in eV/cell: -46.94
Offset from the most stable computed form in eV per atom: 0.169
Total moment in μB/f.u.: 4.5
Space group: R-3m, No. 166
Formation energy without anion corrections in eV per atom: -0.75

a b c (Å): 5.5780 5.5780 5.5780
angles (deg): 33.95 33.95 33.95
Atoms (fractional coordinates):
Pu1 0.0000 0.0000 0.0000
W1 0.5000 0.5000 0.5000
N1 0.2396 0.2396 0.2396
N2 0.7604 0.7604 0.7604